a.
This record from Alexandria describes an optimized crystal structure of Tm2ThCd. The functional is PBE.

Cell and atoms, written as CIF:
```
data_Tm2ThCd
_chemical_formula_sum 'Tm2 Th1 Cd1'
_cell_length_a 5.4408
_cell_length_b 5.4408
_cell_length_c 5.4408
_cell_angle_alpha 60.00
_cell_angle_beta 60.00
_cell_angle_gamma 60.00
_symmetry_space_group_name_H-M 'P 1'
_symmetry_Int_Tables_number 1
_symmetry_space_group_name_Hall 'P 1'
loop_
_atom_site_label
_atom_site_fract_x
_atom_site_fract_y
_atom_site_fract_z
Tm1 0.2500 0.2500 0.2500
Tm2 0.7500 0.7500 0.7500
Th1 0.0000 0.0000 0.0000
Cd1 0.5000 0.5000 0.5000
```

---

b.
This record from Alexandria describes an optimized crystal structure of Tm2ThCd. The functional is PBE.

Cell and atoms, written as CIF:
```
data_Tm2ThCd
_chemical_formula_sum 'Tm2 Th1 Cd1'
_cell_length_a 10.7927
_cell_length_b 10.7927
_cell_length_c 10.7927
_cell_angle_alpha 18.94
_cell_angle_beta 18.94
_cell_angle_gamma 18.94
_symmetry_space_group_name_H-M 'P 1'
_symmetry_Int_Tables_number 1
_symmetry_space_group_name_Hall 'P 1'
loop_
_atom_site_label
_atom_site_fract_x
_atom_site_fract_y
_atom_site_fract_z
Tm1 0.2450 0.2450 0.2450
Tm2 0.7550 0.7550 0.7550
Th1 0.0000 0.0000 0.0000
Cd1 0.5000 0.5000 0.5000
```

---

c.
This record from Alexandria describes an optimized crystal structure of Tm2ThCd. The functional is PBE.

Cell and atoms, written as CIF:
```
data_Tm2ThCd
_chemical_formula_sum 'Tm2 Th1 Cd1'
_cell_length_a 10.9658
_cell_length_b 10.9658
_cell_length_c 10.9658
_cell_angle_alpha 18.56
_cell_angle_beta 18.56
_cell_angle_gamma 18.56
_symmetry_space_group_name_H-M 'P 1'
_symmetry_Int_Tables_number 1
_symmetry_space_group_name_Hall 'P 1'
loop_
_atom_site_label
_atom_site_fract_x
_atom_site_fract_y
_atom_site_fract_z
Tm1 0.0000 0.0000 0.0000
Tm2 0.1798 0.1798 0.1798
Th1 0.4235 0.4235 0.4235
Cd1 0.5896 0.5896 0.5896
```

---

d.
This record from Alexandria describes an optimized crystal structure of Tm2ThCd. The functional is PBE.

Cell and atoms, written as CIF:
```
data_Tm2ThCd
_chemical_formula_sum 'Tm2 Th1 Cd1'
_cell_length_a 3.5837
_cell_length_b 3.5837
_cell_length_c 8.7669
_cell_angle_alpha 90.00
_cell_angle_beta 90.00
_cell_angle_gamma 90.00
_symmetry_space_group_name_H-M 'P 1'
_symmetry_Int_Tables_number 1
_symmetry_space_group_name_Hall 'P 1'
loop_
_atom_site_label
_atom_site_fract_x
_atom_site_fract_y
_atom_site_fract_z
Tm1 0.0000 0.0000 0.2282
Tm2 0.0000 0.0000 0.7718
Th1 0.5000 0.5000 0.5000
Cd1 0.5000 0.5000 0.0000
```

---

d takes first place; second place is 75 meV/atom up.

---

a.
This record from Alexandria describes an optimized crystal structure of TmThCd2. The functional is PBE.

Cell and atoms, written as CIF:
```
data_TmThCd2
_chemical_formula_sum 'Tm1 Th1 Cd2'
_cell_length_a 4.9595
_cell_length_b 4.9595
_cell_length_c 4.3748
_cell_angle_alpha 90.00
_cell_angle_beta 90.00
_cell_angle_gamma 90.00
_symmetry_space_group_name_H-M 'P 1'
_symmetry_Int_Tables_number 1
_symmetry_space_group_name_Hall 'P 1'
loop_
_atom_site_label
_atom_site_fract_x
_atom_site_fract_y
_atom_site_fract_z
Tm1 0.0000 0.0000 0.0000
Th1 0.5000 0.5000 0.0000
Cd1 0.0000 0.5000 0.5000
Cd2 0.5000 0.0000 0.5000
```

---

b.
This record from Alexandria describes an optimized crystal structure of TmThCd2. The functional is PBE.

Cell and atoms, written as CIF:
```
data_TmThCd2
_chemical_formula_sum 'Tm1 Th1 Cd2'
_cell_length_a 3.4720
_cell_length_b 3.4720
_cell_length_c 8.7549
_cell_angle_alpha 90.00
_cell_angle_beta 90.00
_cell_angle_gamma 90.00
_symmetry_space_group_name_H-M 'P 1'
_symmetry_Int_Tables_number 1
_symmetry_space_group_name_Hall 'P 1'
loop_
_atom_site_label
_atom_site_fract_x
_atom_site_fract_y
_atom_site_fract_z
Tm1 0.0000 0.0000 0.0000
Th1 0.0000 0.0000 0.5000
Cd1 0.5000 0.5000 0.2333
Cd2 0.5000 0.5000 0.7667
```

---

c.
This record from Alexandria describes an optimized crystal structure of TmThCd2. The functional is PBE.

Cell and atoms, written as CIF:
```
data_TmThCd2
_chemical_formula_sum 'Tm1 Th1 Cd2'
_cell_length_a 5.3507
_cell_length_b 5.3507
_cell_length_c 5.3507
_cell_angle_alpha 60.00
_cell_angle_beta 60.00
_cell_angle_gamma 60.00
_symmetry_space_group_name_H-M 'P 1'
_symmetry_Int_Tables_number 1
_symmetry_space_group_name_Hall 'P 1'
loop_
_atom_site_label
_atom_site_fract_x
_atom_site_fract_y
_atom_site_fract_z
Tm1 0.0000 0.0000 0.0000
Th1 0.5000 0.5000 0.5000
Cd1 0.2500 0.2500 0.2500
Cd2 0.7500 0.7500 0.7500
```

---

d.
This record from Alexandria describes an optimized crystal structure of TmThCd2. The functional is PBE.

Cell and atoms, written as CIF:
```
data_TmThCd2
_chemical_formula_sum 'Tm1 Th1 Cd2'
_cell_length_a 10.7919
_cell_length_b 10.7919
_cell_length_c 10.7919
_cell_angle_alpha 18.48
_cell_angle_beta 18.48
_cell_angle_gamma 18.48
_symmetry_space_group_name_H-M 'P 1'
_symmetry_Int_Tables_number 1
_symmetry_space_group_name_Hall 'P 1'
loop_
_atom_site_label
_atom_site_fract_x
_atom_site_fract_y
_atom_site_fract_z
Tm1 0.0000 0.0000 0.0000
Th1 0.5000 0.5000 0.5000
Cd1 0.2543 0.2543 0.2543
Cd2 0.7457 0.7457 0.7457
```

---

b takes first place; second place is 34 meV/atom up.

---

a.
This record from Alexandria describes an optimized crystal structure of TmThCd. The functional is PBE.

Cell and atoms, written as CIF:
```
data_TmThCd
_chemical_formula_sum 'Tm1 Th1 Cd1'
_cell_length_a 7.2396
_cell_length_b 7.2396
_cell_length_c 7.2396
_cell_angle_alpha 151.56
_cell_angle_beta 151.56
_cell_angle_gamma 40.66
_symmetry_space_group_name_H-M 'P 1'
_symmetry_Int_Tables_number 1
_symmetry_space_group_name_Hall 'P 1'
loop_
_atom_site_label
_atom_site_fract_x
_atom_site_fract_y
_atom_site_fract_z
Tm1 0.0000 0.0000 0.0000
Th1 0.6814 0.6814 0.0000
Cd1 0.3542 0.3542 0.0000
```

---

b.
This record from Alexandria describes an optimized crystal structure of TmThCd. The functional is PBE.

Cell and atoms, written as CIF:
```
data_TmThCd
_chemical_formula_sum 'Tm1 Th1 Cd1'
_cell_length_a 5.2817
_cell_length_b 5.2817
_cell_length_c 3.6078
_cell_angle_alpha 90.00
_cell_angle_beta 90.00
_cell_angle_gamma 120.00
_symmetry_space_group_name_H-M 'P 1'
_symmetry_Int_Tables_number 1
_symmetry_space_group_name_Hall 'P 1'
loop_
_atom_site_label
_atom_site_fract_x
_atom_site_fract_y
_atom_site_fract_z
Tm1 0.0000 0.0000 0.0000
Th1 0.6667 0.3333 0.5016
Cd1 0.3333 0.6667 0.0055
```

---

a takes first place; second place is 160 meV/atom up.

---

a.
This record from Alexandria describes an optimized crystal structure of Th2UCd. The functional is PBE.

Cell and atoms, written as CIF:
```
data_Th2UCd
_chemical_formula_sum 'Th2 U1 Cd1'
_cell_length_a 12.3258
_cell_length_b 12.3258
_cell_length_c 12.3258
_cell_angle_alpha 15.11
_cell_angle_beta 15.11
_cell_angle_gamma 15.11
_symmetry_space_group_name_H-M 'P 1'
_symmetry_Int_Tables_number 1
_symmetry_space_group_name_Hall 'P 1'
loop_
_atom_site_label
_atom_site_fract_x
_atom_site_fract_y
_atom_site_fract_z
Th1 0.0879 0.0879 0.0879
Th2 0.9121 0.9121 0.9121
U1 0.0000 0.0000 0.0000
Cd1 0.5000 0.5000 0.5000
```

---

b.
This record from Alexandria describes an optimized crystal structure of Th2UCd. The functional is PBE.

Cell and atoms, written as CIF:
```
data_Th2UCd
_chemical_formula_sum 'Th2 U1 Cd1'
_cell_length_a 5.6764
_cell_length_b 5.6764
_cell_length_c 3.3229
_cell_angle_alpha 90.00
_cell_angle_beta 90.00
_cell_angle_gamma 90.00
_symmetry_space_group_name_H-M 'P 1'
_symmetry_Int_Tables_number 1
_symmetry_space_group_name_Hall 'P 1'
loop_
_atom_site_label
_atom_site_fract_x
_atom_site_fract_y
_atom_site_fract_z
Th1 0.0000 0.5000 0.0000
Th2 0.5000 0.0000 0.0000
U1 0.0000 0.0000 0.5000
Cd1 0.5000 0.5000 0.5000
```

---

b takes first place; second place is 300 meV/atom up.

---

a.
This record from Alexandria describes an optimized crystal structure of YThCd4. The functional is PBE.

Cell and atoms, written as CIF:
```
data_YThCd4
_chemical_formula_sum 'Y1 Th1 Cd4'
_cell_length_a 3.4241
_cell_length_b 5.0369
_cell_length_c 8.7546
_cell_angle_alpha 90.00
_cell_angle_beta 90.00
_cell_angle_gamma 90.00
_symmetry_space_group_name_H-M 'P 1'
_symmetry_Int_Tables_number 1
_symmetry_space_group_name_Hall 'P 1'
loop_
_atom_site_label
_atom_site_fract_x
_atom_site_fract_y
_atom_site_fract_z
Y1 0.0000 0.0000 0.0000
Th1 0.0000 0.5000 0.5000
Cd1 0.5000 0.0000 0.3278
Cd2 0.5000 0.0000 0.6722
Cd3 0.5000 0.5000 0.1620
Cd4 0.5000 0.5000 0.8380
```

---

b.
This record from Alexandria describes an optimized crystal structure of YThCd4. The functional is PBE.

Cell and atoms, written as CIF:
```
data_YThCd4
_chemical_formula_sum 'Y1 Th1 Cd4'
_cell_length_a 5.9543
_cell_length_b 5.9543
_cell_length_c 5.9543
_cell_angle_alpha 60.00
_cell_angle_beta 60.00
_cell_angle_gamma 60.00
_symmetry_space_group_name_H-M 'P 1'
_symmetry_Int_Tables_number 1
_symmetry_space_group_name_Hall 'P 1'
loop_
_atom_site_label
_atom_site_fract_x
_atom_site_fract_y
_atom_site_fract_z
Y1 0.0000 0.0000 0.0000
Th1 0.2500 0.2500 0.2500
Cd1 0.1240 0.6253 0.6253
Cd2 0.6253 0.1240 0.6253
Cd3 0.6253 0.6253 0.1240
Cd4 0.6253 0.6253 0.6253
```

---

a takes first place; second place is 65 meV/atom up.

---

a.
This record from Alexandria describes an optimized crystal structure of Th2Zn3Cd. The functional is PBE.

Cell and atoms, written as CIF:
```
data_Th2Zn3Cd
_chemical_formula_sum 'Th2 Zn3 Cd1'
_cell_length_a 8.5320
_cell_length_b 8.5320
_cell_length_c 8.5320
_cell_angle_alpha 155.28
_cell_angle_beta 147.49
_cell_angle_gamma 41.27
_symmetry_space_group_name_H-M 'P 1'
_symmetry_Int_Tables_number 1
_symmetry_space_group_name_Hall 'P 1'
loop_
_atom_site_label
_atom_site_fract_x
_atom_site_fract_y
_atom_site_fract_z
Th1 0.0000 0.0000 0.0000
Th2 0.7852 0.2852 0.5000
Zn1 0.1824 0.6824 0.5000
Zn2 0.3395 0.8395 0.5000
Zn3 0.4403 0.4403 0.0000
Cd1 0.6067 0.6067 0.0000
```

---

b.
This record from Alexandria describes an optimized crystal structure of Th2Zn3Cd. The functional is PBE.

Cell and atoms, written as CIF:
```
data_Th2Zn3Cd
_chemical_formula_sum 'Th4 Zn6 Cd2'
_cell_length_a 9.4220
_cell_length_b 8.9012
_cell_length_c 5.9024
_cell_angle_alpha 76.07
_cell_angle_beta 66.48
_cell_angle_gamma 37.45
_symmetry_space_group_name_H-M 'P 1'
_symmetry_Int_Tables_number 1
_symmetry_space_group_name_Hall 'P 1'
loop_
_atom_site_label
_atom_site_fract_x
_atom_site_fract_y
_atom_site_fract_z
Th1 0.2482 0.7518 0.7518
Th2 0.2500 0.2500 0.2500
Th3 0.7500 0.7500 0.7500
Th4 0.7518 0.2482 0.2482
Zn1 0.1629 0.1629 0.8371
Zn2 0.1632 0.6736 0.3264
Zn3 0.3264 0.8368 0.1632
Zn4 0.6736 0.1632 0.8368
Zn5 0.8368 0.3264 0.6736
Zn6 0.8371 0.8371 0.1629
Cd1 0.3336 0.3336 0.6664
Cd2 0.6664 0.6664 0.3336
```

---

b takes first place; second place is 34 meV/atom up.

---

a.
This record from Alexandria describes an optimized crystal structure of Th2ZnCd. The functional is PBE.

Cell and atoms, written as CIF:
```
data_Th2ZnCd
_chemical_formula_sum 'Th2 Zn1 Cd1'
_cell_length_a 11.7441
_cell_length_b 11.7441
_cell_length_c 11.7441
_cell_angle_alpha 16.56
_cell_angle_beta 16.56
_cell_angle_gamma 16.56
_symmetry_space_group_name_H-M 'P 1'
_symmetry_Int_Tables_number 1
_symmetry_space_group_name_Hall 'P 1'
loop_
_atom_site_label
_atom_site_fract_x
_atom_site_fract_y
_atom_site_fract_z
Th1 0.0960 0.0960 0.0960
Th2 0.9040 0.9040 0.9040
Zn1 0.5000 0.5000 0.5000
Cd1 0.0000 0.0000 0.0000
```

---

b.
This record from Alexandria describes an optimized crystal structure of Th2ZnCd. The functional is PBE.

Cell and atoms, written as CIF:
```
data_Th2ZnCd
_chemical_formula_sum 'Th2 Zn1 Cd1'
_cell_length_a 4.8008
_cell_length_b 4.8008
_cell_length_c 4.5329
_cell_angle_alpha 90.00
_cell_angle_beta 90.00
_cell_angle_gamma 90.00
_symmetry_space_group_name_H-M 'P 1'
_symmetry_Int_Tables_number 1
_symmetry_space_group_name_Hall 'P 1'
loop_
_atom_site_label
_atom_site_fract_x
_atom_site_fract_y
_atom_site_fract_z
Th1 0.0000 0.5000 0.0000
Th2 0.5000 0.0000 0.0000
Zn1 0.0000 0.0000 0.5000
Cd1 0.5000 0.5000 0.5000
```

---

c.
This record from Alexandria describes an optimized crystal structure of Th2ZnCd. The functional is PBE.

Cell and atoms, written as CIF:
```
data_Th2ZnCd
_chemical_formula_sum 'Th2 Zn1 Cd1'
_cell_length_a 5.3296
_cell_length_b 5.3296
_cell_length_c 5.3296
_cell_angle_alpha 60.00
_cell_angle_beta 60.00
_cell_angle_gamma 60.00
_symmetry_space_group_name_H-M 'P 1'
_symmetry_Int_Tables_number 1
_symmetry_space_group_name_Hall 'P 1'
loop_
_atom_site_label
_atom_site_fract_x
_atom_site_fract_y
_atom_site_fract_z
Th1 0.2500 0.2500 0.2500
Th2 0.7500 0.7500 0.7500
Zn1 0.0000 0.0000 0.0000
Cd1 0.5000 0.5000 0.5000
```

---

b takes first place; second place is 8 meV/atom up.

---

a.
This record from Alexandria describes an optimized crystal structure of ThZn2Cd. The functional is PBE.

Cell and atoms, written as CIF:
```
data_ThZn2Cd
_chemical_formula_sum 'Th1 Zn2 Cd1'
_cell_length_a 3.4300
_cell_length_b 3.4300
_cell_length_c 7.3515
_cell_angle_alpha 90.00
_cell_angle_beta 90.00
_cell_angle_gamma 90.00
_symmetry_space_group_name_H-M 'P 1'
_symmetry_Int_Tables_number 1
_symmetry_space_group_name_Hall 'P 1'
loop_
_atom_site_label
_atom_site_fract_x
_atom_site_fract_y
_atom_site_fract_z
Th1 0.0000 0.0000 0.0000
Zn1 0.5000 0.5000 0.2786
Zn2 0.5000 0.5000 0.7214
Cd1 0.0000 0.0000 0.5000
```

---

b.
This record from Alexandria describes an optimized crystal structure of ThZn2Cd. The functional is PBE.

Cell and atoms, written as CIF:
```
data_ThZn2Cd
_chemical_formula_sum 'Th2 Zn4 Cd2'
_cell_length_a 5.3741
_cell_length_b 4.2543
_cell_length_c 7.5722
_cell_angle_alpha 90.00
_cell_angle_beta 90.00
_cell_angle_gamma 90.00
_symmetry_space_group_name_H-M 'P 1'
_symmetry_Int_Tables_number 1
_symmetry_space_group_name_Hall 'P 1'
loop_
_atom_site_label
_atom_site_fract_x
_atom_site_fract_y
_atom_site_fract_z
Th1 0.2500 0.0000 0.2056
Th2 0.7500 0.0000 0.7944
Zn1 0.0000 0.5000 0.5000
Zn2 0.2500 0.0000 0.6098
Zn3 0.5000 0.5000 0.5000
Zn4 0.7500 0.0000 0.3902
Cd1 0.2500 0.5000 0.8647
Cd2 0.7500 0.5000 0.1353
```

---

c.
This record from Alexandria describes an optimized crystal structure of ThZn2Cd. The functional is PBE.

Cell and atoms, written as CIF:
```
data_ThZn2Cd
_chemical_formula_sum 'Th1 Zn2 Cd1'
_cell_length_a 4.9572
_cell_length_b 4.9572
_cell_length_c 4.9572
_cell_angle_alpha 60.00
_cell_angle_beta 60.00
_cell_angle_gamma 60.00
_symmetry_space_group_name_H-M 'P 1'
_symmetry_Int_Tables_number 1
_symmetry_space_group_name_Hall 'P 1'
loop_
_atom_site_label
_atom_site_fract_x
_atom_site_fract_y
_atom_site_fract_z
Th1 0.0000 0.0000 0.0000
Zn1 0.2500 0.2500 0.2500
Zn2 0.7500 0.7500 0.7500
Cd1 0.5000 0.5000 0.5000
```

---

c takes first place; second place is 18 meV/atom up.